[1]
DFT (GGA+U) results for Rb2CrGeF6 after structural relaxation.

Its total DFT energy (no corrections) is -100.9 eV for the cell shown.

The structure belongs to space group I4/mmm (No. 139); the cell edges are 6.1128, 6.1128 and 9.1443 Å and the angles 90.00°, 90.00° and 90.00°. Symmetry generates all atoms from Rb at (0.0000, 0.5000, 0.2500), Cr at (0.0000, 0.0000, 0.0000), Ge at (0.0000, 0.0000, 0.5000), F at (0.0000, 0.0000, 0.2601) and F at (0.2368, 0.2368, 0.0000).

[2]
DFT (GGA+U) results for Cr2GeRhF after structural relaxation.

Its total DFT energy (no corrections) is -26.4 eV for the cell shown. The value obtained for the energy above the most stable polymorph in this dataset is 0.4352 eV per atom.

The structure belongs to space group P4/mmm (No. 123); the cell edges are 5.0276, 5.0276 and 3.8910 Å and the angles 90.00°, 90.00° and 90.00°. Symmetry generates all atoms from Cr at (0.0000, 0.5000, 0.0000), Ge at (0.0000, 0.0000, 0.0000), Rh at (0.5000, 0.5000, 0.5000) and F at (0.0000, 0.0000, 0.5000).

[3]
DFT (GGA+U) results for Cr2GeRhF after structural relaxation.

Its total DFT energy (no corrections) is -28.6 eV for the cell shown. The value obtained for the energy above the most stable polymorph in this dataset is 0.0000 eV per atom.

The structure belongs to space group P4/mmm (No. 123); the cell edges are 4.1863, 4.1863 and 4.7024 Å and the angles 90.00°, 90.00° and 90.00°. Symmetry generates all atoms from Cr at (0.0000, 0.5000, 0.0000), Ge at (0.0000, 0.0000, 0.5000), Rh at (0.5000, 0.5000, 0.5000) and F at (0.5000, 0.5000, 0.0000).

[4]
DFT (GGA+U) results for CrSnGe2F after structural relaxation.

Its total DFT energy (no corrections) is -22.1 eV for the cell shown.

The structure belongs to space group P4/mmm (No. 123); the cell edges are 4.6191, 4.6191 and 5.0902 Å and the angles 90.00°, 90.00° and 90.00°. Symmetry generates all atoms from Cr at (0.0000, 0.0000, 0.0000), Sn at (0.0000, 0.0000, 0.5000), Ge at (0.0000, 0.5000, 0.0000) and F at (0.5000, 0.5000, 0.5000).

[5]
DFT (GGA+U) results for Cr4HF2 after structural relaxation.

Its total DFT energy (no corrections) is -78.3 eV for the cell shown.

The structure belongs to space group I4/mmm (No. 139); the cell edges are 4.3441, 4.3441 and 11.4853 Å and the angles 90.00°, 90.00° and 90.00°. Symmetry generates all atoms from Cr at (0.0000, 0.0000, 0.2014), Cr at (0.0000, 0.5000, 0.0000), H at (0.0000, 0.0000, 0.0000) and F at (0.0000, 0.0000, 0.3849).

[6]
DFT (GGA+U) results for CrH3F after structural relaxation.

Its total DFT energy (no corrections) is -18.1 eV for the cell shown. The value obtained for the energy above the most stable polymorph in this dataset is 0.0000 eV per atom.

The structure belongs to space group Pm-3m (No. 221); the cell edges are 3.4738, 3.4738 and 3.4738 Å and the angles 90.00°, 90.00° and 90.00°. Symmetry generates all atoms from Cr at (0.0000, 0.0000, 0.0000), H at (0.0000, 0.0000, 0.5000) and F at (0.5000, 0.5000, 0.5000).

[7]
DFT (GGA+U) results for CrH2F8 after structural relaxation.

Its total DFT energy (no corrections) is -93.9 eV for the cell shown.

The structure belongs to space group C2/m (No. 12); the cell edges are 9.1820, 5.9215 and 4.9468 Å and the angles 90.00°, 90.75° and 90.00°. Symmetry generates all atoms from Cr at (0.0000, 0.0000, 0.0000), H at (0.1278, 0.5000, 0.4586), F at (0.1069, 0.2102, 0.1572), F at (0.1181, 0.0000, 0.7232) and F at (0.1275, 0.5000, 0.6496).

[8]
DFT (GGA+U) results for CrHF3 after structural relaxation.

Its total DFT energy (no corrections) is -24.9 eV for the cell shown. The value obtained for the energy above the most stable polymorph in this dataset is 0.4585 eV per atom.

The structure belongs to space group Pm-3m (No. 221); the cell edges are 3.8999, 3.8999 and 3.8999 Å and the angles 90.00°, 90.00° and 90.00°. Symmetry generates all atoms from Cr at (0.0000, 0.0000, 0.0000), H at (0.5000, 0.5000, 0.5000) and F at (0.0000, 0.0000, 0.5000).